Record 1
VASP calculation (PBE-GGA) on a relaxed MnRu2W crystal.

The structure belongs to space group Fm-3m (No. 225); the cell edges are 6.1518, 6.1518 and 6.1518 Å and the angles 90.00°, 90.00° and 90.00°. Symmetry generates all atoms from Mn at (0.0000, 0.0000, 0.0000), Ru at (0.2500, 0.2500, 0.2500) and W at (0.0000, 0.0000, 0.5000).

As for the energy above the lowest structure with this stoichiometry: 0.0 kJ/mol of atoms. The calculation puts the total energy at -0.7471 Ry/atom. Its formation energy is 0.004 eV/atom. As for the density of states at the Fermi level: 0.545 states/eV/atom. As for the crystal system: cubic. The value obtained for the magnetization is 4.720 μB/f.u.

---

Record 2
VASP calculation (PBE-GGA) on a relaxed MnRuW2 crystal.

The structure belongs to space group R3m (No. 160, hexagonal axes); the cell edges are 2.7635, 2.7635 and 27.2743 Å and the angles 90.00°, 90.00° and 120.00°. Symmetry generates all atoms from Mn at (0.0000, 0.0000, 0.0000), Ru at (0.0000, 0.0000, 0.7460), W at (0.0000, 0.0000, 0.2512) and W at (0.0000, 0.0000, 0.4934).

As for the energy above the lowest structure with this stoichiometry: 18.9 kJ/mol of atoms. The calculation puts the total energy at -0.7939 Ry/atom. Its formation energy is 0.287 eV/atom. As for the density of states at the Fermi level: 1.014 states/eV/atom. As for the crystal system: trigonal. The value obtained for the magnetization is 2.904 μB/f.u.

---

Record 3
VASP calculation (PBE-GGA) on a relaxed MnRuW2 crystal.

The structure belongs to space group Pmmm (No. 47); the cell edges are 2.7794, 3.8076 and 5.5319 Å and the angles 90.00°, 90.00° and 90.00°. Symmetry generates all atoms from Mn at (0.0000, 0.0000, 0.0000), Ru at (0.0000, 0.0000, 0.5000) and W at (0.5000, 0.5000, 0.2478).

As for the energy above the lowest structure with this stoichiometry: 6.1 kJ/mol of atoms. The calculation puts the total energy at -0.8036 Ry/atom. Its formation energy is 0.154 eV/atom. As for the density of states at the Fermi level: 1.082 states/eV/atom. As for the crystal system: orthorhombic. The value obtained for the magnetization is 2.057 μB/f.u.

---

Record 4
VASP calculation (PBE-GGA) on a relaxed MnRu2W crystal.

The structure belongs to space group Pmm2 (No. 25); the cell edges are 2.7345, 3.7413 and 5.4525 Å and the angles 90.00°, 90.00° and 90.00°. Symmetry generates all atoms from Mn at (0.0000, 0.0000, 0.0000), Ru at (0.0000, 0.0000, 0.5155), Ru at (0.5000, 0.5000, 0.7781) and W at (0.5000, 0.5000, 0.2589).

As for the energy above the lowest structure with this stoichiometry: 9.7 kJ/mol of atoms. The calculation puts the total energy at -0.7397 Ry/atom. Its formation energy is 0.105 eV/atom. As for the density of states at the Fermi level: 0.997 states/eV/atom. As for the crystal system: orthorhombic. The value obtained for the magnetization is 1.188 μB/f.u.

---

Record 5
VASP calculation (PBE-GGA) on a relaxed MnRuW2 crystal.

The structure belongs to space group P4/mmm (No. 123); the cell edges are 3.8725, 3.8725 and 3.9096 Å and the angles 90.00°, 90.00° and 90.00°. Symmetry generates all atoms from Mn at (0.0000, 0.0000, 0.0000), Ru at (0.5000, 0.5000, 0.0000) and W at (0.0000, 0.5000, 0.5000).

As for the energy above the lowest structure with this stoichiometry: 5.6 kJ/mol of atoms. The calculation puts the total energy at -0.8040 Ry/atom. Its formation energy is 0.149 eV/atom. As for the density of states at the Fermi level: 0.958 states/eV/atom. As for the crystal system: tetragonal. The value obtained for the magnetization is 2.089 μB/f.u.

---

Record 6
VASP calculation (PBE-GGA) on a relaxed Mn2Ru2W crystal.

The structure belongs to space group P4/mbm (No. 127); the cell edges are 7.1073, 7.1073 and 2.6710 Å and the angles 90.00°, 90.00° and 90.00°. Symmetry generates all atoms from Mn at (0.1689, 0.3311, 0.0000), Ru at (0.1281, 0.6281, 0.5000) and W at (0.0000, 0.0000, 0.5000).

As for the energy above the lowest structure with this stoichiometry: 8.1 kJ/mol of atoms. The calculation puts the total energy at -0.7162 Ry/atom. Its formation energy is 0.224 eV/atom. As for the density of states at the Fermi level: 0.908 states/eV/atom. As for the crystal system: tetragonal. The value obtained for the magnetization is 0.760 μB/f.u.

---

Record 7
VASP calculation (PBE-GGA) on a relaxed MnRu2W crystal.

The structure belongs to space group Cm (No. 8); the cell edges are 8.9915, 2.7326 and 4.6566 Å and the angles 90.00°, 100.21° and 90.00°. Symmetry generates all atoms from Mn at (0.0000, 0.0000, 0.0000), Ru at (0.2484, 0.5000, 0.2380), Ru at (0.4938, 0.0000, 0.4826) and W at (0.2472, 0.0000, 0.7410).

As for the energy above the lowest structure with this stoichiometry: 9.7 kJ/mol of atoms. The calculation puts the total energy at -0.7397 Ry/atom. Its formation energy is 0.104 eV/atom. As for the density of states at the Fermi level: 0.923 states/eV/atom. As for the crystal system: monoclinic. The value obtained for the magnetization is 1.611 μB/f.u.

---

Record 8
VASP calculation (PBE-GGA) on a relaxed MnRu2W crystal.

The structure belongs to space group R3m (No. 160, hexagonal axes); the cell edges are 2.7179, 2.7179 and 26.4014 Å and the angles 90.00°, 90.00° and 120.00°. Symmetry generates all atoms from Mn at (0.0000, 0.0000, 0.0000), Ru at (0.0000, 0.0000, 0.4966), Ru at (0.0000, 0.0000, 0.7419) and W at (0.0000, 0.0000, 0.2478).

As for the energy above the lowest structure with this stoichiometry: 19.4 kJ/mol of atoms. The calculation puts the total energy at -0.7323 Ry/atom. Its formation energy is 0.205 eV/atom. As for the density of states at the Fermi level: 0.990 states/eV/atom. As for the crystal system: trigonal. The value obtained for the magnetization is 1.150 μB/f.u.

---

Record 9
VASP calculation (PBE-GGA) on a relaxed MnRu2W crystal.

The structure belongs to space group P4/mmm (No. 123); the cell edges are 3.8657, 3.8657 and 3.7538 Å and the angles 90.00°, 90.00° and 90.00°. Symmetry generates all atoms from Mn at (0.0000, 0.0000, 0.0000), Ru at (0.0000, 0.5000, 0.5000) and W at (0.5000, 0.5000, 0.0000).

As for the energy above the lowest structure with this stoichiometry: 1.3 kJ/mol of atoms. The calculation puts the total energy at -0.7461 Ry/atom. Its formation energy is 0.017 eV/atom. As for the density of states at the Fermi level: 1.143 states/eV/atom. As for the crystal system: tetragonal. The value obtained for the magnetization is 2.046 μB/f.u.

---

Record 10
VASP calculation (PBE-GGA) on a relaxed MnRu2W crystal.

The structure belongs to space group I-42d (No. 122); the cell edges are 3.7692, 3.7692 and 17.0535 Å and the angles 90.00°, 90.00° and 90.00°. Symmetry generates all atoms from Mn at (0.0000, 0.0000, 0.0000), Ru at (0.2217, 0.2500, 0.1250) and W at (0.0000, 0.0000, 0.5000).

As for the energy above the lowest structure with this stoichiometry: 69.8 kJ/mol of atoms. The calculation puts the total energy at -0.6939 Ry/atom. Its formation energy is 0.727 eV/atom. As for the density of states at the Fermi level: 1.269 states/eV/atom. As for the crystal system: tetragonal. The value obtained for the magnetization is 0.000 μB/f.u.

---

Record 11
VASP calculation (PBE-GGA) on a relaxed MnRuW2 crystal.

The structure belongs to space group P2/m (No. 10); the cell edges are 2.7251, 4.2017 and 5.2787 Å and the angles 90.00°, 103.32° and 90.00°. Symmetry generates all atoms from Mn at (0.0000, 0.0000, 0.0000), Ru at (0.5000, 0.0000, 0.5000) and W at (0.2378, 0.5000, 0.7557).

As for the energy above the lowest structure with this stoichiometry: 5.2 kJ/mol of atoms. The calculation puts the total energy at -0.8043 Ry/atom. Its formation energy is 0.145 eV/atom. As for the density of states at the Fermi level: 0.967 states/eV/atom. As for the crystal system: monoclinic. The value obtained for the magnetization is 2.291 μB/f.u.

---

Record 12
VASP calculation (PBE-GGA) on a relaxed MnRu2W crystal.

The structure belongs to space group Imm2 (No. 44); the cell edges are 3.0601, 4.2804 and 8.7698 Å and the angles 90.00°, 90.00° and 90.00°. Symmetry generates all atoms from Mn at (0.0000, 0.0000, 0.0000), Ru at (0.0000, 0.0000, 0.5079), Ru at (0.0000, 0.5000, 0.7373) and W at (0.0000, 0.5000, 0.2595).

As for the energy above the lowest structure with this stoichiometry: 14.5 kJ/mol of atoms. The calculation puts the total energy at -0.7361 Ry/atom. Its formation energy is 0.154 eV/atom. As for the density of states at the Fermi level: 1.110 states/eV/atom. As for the crystal system: orthorhombic. The value obtained for the magnetization is 3.331 μB/f.u.

---

Record 13
VASP calculation (PBE-GGA) on a relaxed MnRuW2 crystal.

The structure belongs to space group Pm (No. 6); the cell edges are 2.7473, 4.4004 and 4.8607 Å and the angles 90.00°, 96.31° and 90.00°. Symmetry generates all atoms from Mn at (0.0000, 0.0000, 0.0000), Ru at (0.9435, 0.5000, 0.3067), W at (0.3514, 0.5000, 0.8146) and W at (0.5742, 0.0000, 0.5118).

As for the energy above the lowest structure with this stoichiometry: 6.4 kJ/mol of atoms. The calculation puts the total energy at -0.8034 Ry/atom. Its formation energy is 0.157 eV/atom. As for the density of states at the Fermi level: 1.088 states/eV/atom. As for the crystal system: monoclinic. The value obtained for the magnetization is 1.529 μB/f.u.

---

Record 14
VASP calculation (PBE-GGA) on a relaxed Mn2RuW crystal.

The structure belongs to space group P4/mmm (No. 123); the cell edges are 3.0722, 3.0722 and 5.7889 Å and the angles 90.00°, 90.00° and 90.00°. Symmetry generates all atoms from Mn at (0.0000, 0.0000, 0.2482), Ru at (0.5000, 0.5000, 0.5000) and W at (0.5000, 0.5000, 0.0000).

As for the energy above the lowest structure with this stoichiometry: 4.9 kJ/mol of atoms. The calculation puts the total energy at -0.7367 Ry/atom. Its formation energy is 0.118 eV/atom. As for the density of states at the Fermi level: 0.878 states/eV/atom. As for the crystal system: tetragonal. The value obtained for the magnetization is 4.371 μB/f.u.

---

Record 15
VASP calculation (PBE-GGA) on a relaxed MnRu2W crystal.

The structure belongs to space group R3m (No. 160, hexagonal axes); the cell edges are 2.7211, 2.7211 and 25.9368 Å and the angles 90.00°, 90.00° and 120.00°. Symmetry generates all atoms from Mn at (0.0000, 0.0000, 0.0000), Ru at (0.0000, 0.0000, 0.2575), Ru at (0.0000, 0.0000, 0.4114) and W at (0.0000, 0.0000, 0.8337).

As for the energy above the lowest structure with this stoichiometry: 11.2 kJ/mol of atoms. The calculation puts the total energy at -0.7386 Ry/atom. Its formation energy is 0.120 eV/atom. As for the density of states at the Fermi level: 1.078 states/eV/atom. As for the crystal system: trigonal. The value obtained for the magnetization is 0.000 μB/f.u.

---

Record 16
VASP calculation (PBE-GGA) on a relaxed Mn2RuW crystal.

The structure belongs to space group R3m (No. 160, hexagonal axes); the cell edges are 2.7225, 2.7225 and 25.8615 Å and the angles 90.00°, 90.00° and 120.00°. Symmetry generates all atoms from Mn at (0.0000, 0.0000, 0.0000), Mn at (0.0000, 0.0000, 0.2597), Ru at (0.0000, 0.0000, 0.7513) and W at (0.0000, 0.0000, 0.5042).

As for the energy above the lowest structure with this stoichiometry: 16.0 kJ/mol of atoms. The calculation puts the total energy at -0.7283 Ry/atom. Its formation energy is 0.233 eV/atom. As for the density of states at the Fermi level: 1.208 states/eV/atom. As for the crystal system: trigonal. The value obtained for the magnetization is 0.676 μB/f.u.

---

Record 17
VASP calculation (PBE-GGA) on a relaxed Mn2RuW crystal.

The structure belongs to space group R-3m (No. 166, hexagonal axes); the cell edges are 2.7026, 2.7026 and 26.0796 Å and the angles 90.00°, 90.00° and 120.00°. Symmetry generates all atoms from Mn at (0.0000, 0.0000, 0.2470), Ru at (0.0000, 0.0000, 0.5000) and W at (0.0000, 0.0000, 0.0000).

As for the energy above the lowest structure with this stoichiometry: 19.7 kJ/mol of atoms. The calculation puts the total energy at -0.7254 Ry/atom. Its formation energy is 0.272 eV/atom. As for the density of states at the Fermi level: 1.117 states/eV/atom. As for the crystal system: trigonal. The value obtained for the magnetization is 4.029 μB/f.u.

---

Record 18
VASP calculation (PBE-GGA) on a relaxed MnRu2W crystal.

The structure belongs to space group P4mm (No. 99); the cell edges are 2.7135, 2.7135 and 7.5105 Å and the angles 90.00°, 90.00° and 90.00°. Symmetry generates all atoms from Mn at (0.0000, 0.0000, 0.0000), Ru at (0.0000, 0.0000, 0.4815), Ru at (0.5000, 0.5000, 0.2219) and W at (0.5000, 0.5000, 0.7479).

As for the energy above the lowest structure with this stoichiometry: 12.6 kJ/mol of atoms. The calculation puts the total energy at -0.7375 Ry/atom. Its formation energy is 0.134 eV/atom. As for the density of states at the Fermi level: 0.982 states/eV/atom. As for the crystal system: tetragonal. The value obtained for the magnetization is 0.442 μB/f.u.

---

Record 19
VASP calculation (PBE-GGA) on a relaxed MnRu2W crystal.

The structure belongs to space group Cmmm (No. 65); the cell edges are 5.5869, 7.2279 and 2.8403 Å and the angles 90.00°, 90.00° and 90.00°. Symmetry generates all atoms from Mn at (0.0000, 0.0000, 0.0000), Ru at (0.2500, 0.2500, 0.5000) and W at (0.0000, 0.5000, 0.0000).

As for the energy above the lowest structure with this stoichiometry: 7.8 kJ/mol of atoms. The calculation puts the total energy at -0.7411 Ry/atom. Its formation energy is 0.085 eV/atom. As for the density of states at the Fermi level: 1.106 states/eV/atom. As for the crystal system: orthorhombic. The value obtained for the magnetization is 2.454 μB/f.u.

---

Record 20
VASP calculation (PBE-GGA) on a relaxed MnZnRuW crystal.

The structure belongs to space group F-43m (No. 216); the cell edges are 6.0355, 6.0355 and 6.0355 Å and the angles 90.00°, 90.00° and 90.00°. Symmetry generates all atoms from Mn at (0.0000, 0.0000, 0.0000), Zn at (0.2500, 0.2500, 0.2500), Ru at (0.0000, 0.0000, 0.5000) and W at (0.2500, 0.2500, 0.7500).

The calculation puts the total energy at -0.5981 Ry/atom. Its formation energy is 0.031 eV/atom. As for the density of states at the Fermi level: 0.876 states/eV/atom. As for the crystal system: cubic. The value obtained for the magnetization is 0.850 μB/f.u.